The following is a DFT calculation (GGA-PBE) of an optimized crystal structure of Ag3OsO.

Results
raw total energy	-3.937	eV/atom
raw formation energy	1.01	eV per atom
E above lowest polymorph	0	meV per atom
magnetic moment	2.527	μB per cell

Cell: 4.374 4.374 4.374 Å, 90.00 90.00 90.00°
Fractional positions:
Ag 0.000 0.000 0.500
Ag 0.000 0.500 0.000
Ag 0.500 0.000 0.000
Os 0.500 0.500 0.500
O 0.000 0.000 0.000


The following is a DFT calculation (GGA-PBE) of an optimized crystal structure of Hf5PdRu4.

Results
raw total energy	-9.975	eV/atom
energy of formation from the pure elements	-769	meV per atom
magnetic moment	0.000	μB per cell

Cell: 3.209 3.209 16.850 Å, 90.00 90.00 90.00°
Fractional positions:
Hf 0.000 0.000 0.000
Hf 0.000 0.000 0.195
Hf 0.000 0.000 0.391
Hf 0.000 0.000 0.609
Hf 0.000 0.000 0.805
Pd 0.500 0.500 0.500
Ru 0.500 0.500 0.097
Ru 0.500 0.500 0.293
Ru 0.500 0.500 0.707
Ru 0.500 0.500 0.903


The following is a DFT calculation (GGA-PBE) of an optimized crystal structure of Mg3ScGe.

Results
raw total energy	-2.873	eV/atom
energy of formation from the pure elements	274	meV per atom
E above lowest polymorph	0	meV per atom
magnetic moment	0.000	μB per cell

Cell: 5.049 5.049 5.049 Å, 90.00 90.00 90.00°
Fractional positions:
Mg 0.000 0.000 0.500
Mg 0.000 0.500 0.000
Mg 0.500 0.000 0.000
Sc 0.500 0.500 0.500
Ge 0.000 0.000 0.000


The following is a DFT calculation (GGA-PBE) of an optimized crystal structure of Nd4SmHo8.

Results
raw total energy	-4.128	eV/atom
energy of formation from the pure elements	519	meV per atom
magnetic moment	1.751	μB per cell

Cell: 7.811 7.811 7.811 Å, 90.00 90.00 90.00°
Fractional positions:
Nd 0.000 0.000 0.000
Nd 0.000 0.500 0.500
Nd 0.500 0.000 0.500
Nd 0.500 0.500 0.000
Sm 0.500 0.500 0.500
Ho 0.240 0.240 0.240
Ho 0.240 0.240 0.760
Ho 0.240 0.760 0.240
Ho 0.240 0.760 0.760
Ho 0.760 0.240 0.240
Ho 0.760 0.240 0.760
Ho 0.760 0.760 0.240
Ho 0.760 0.760 0.760


The following is a DFT calculation (GGA-PBE) of an optimized crystal structure of LiNd2DyS4.

Results
raw total energy	-5.990	eV/atom
raw formation energy	-1.92	eV per atom
magnetic moment	0.000	μB per cell

Cell: 6.854 3.976 6.888 Å, 90.00 109.43 90.00°
Fractional positions:
Li 0.000 0.000 0.000
Nd 0.000 0.500 0.500
Nd 0.500 0.000 0.500
Dy 0.500 0.500 0.000
S 0.244 0.500 0.234
S 0.252 0.000 0.767
S 0.748 0.000 0.233
S 0.756 0.500 0.766


The following is a DFT calculation (GGA-PBE) of an optimized crystal structure of Na5B7C3.

Results
raw total energy	-5.252	eV/atom
energy of formation from the pure elements	149	meV per atom
E above lowest polymorph	36	meV per atom
magnetic moment	0.799	μB per cell

Cell: 5.149 8.601 7.495 Å, 90.00 110.07 90.00°
Fractional positions:
Na 0.000 0.000 0.000
Na 0.000 0.500 0.000
Na 0.200 0.001 0.399
Na 0.200 0.499 0.399
Na 0.402 0.000 0.799
Na 0.402 0.500 0.799
Na 0.598 0.000 0.201
Na 0.598 0.500 0.201
Na 0.800 0.501 0.601
Na 0.800 0.999 0.601
B 0.036 0.250 0.799
B 0.150 0.250 0.603
B 0.151 0.750 0.607
B 0.255 0.250 0.206
B 0.319 0.750 0.999
B 0.346 0.250 0.997
B 0.479 0.250 0.599
B 0.521 0.750 0.401
B 0.654 0.750 0.003
B 0.681 0.250 0.001
B 0.745 0.750 0.794
B 0.849 0.250 0.393
B 0.850 0.750 0.397
B 0.964 0.750 0.201
C 0.060 0.750 0.798
C 0.260 0.750 0.200
C 0.462 0.750 0.602
C 0.538 0.250 0.398
C 0.740 0.250 0.800
C 0.940 0.250 0.202


The following is a DFT calculation (GGA-PBE) of an optimized crystal structure of BaBeNbN3.

Results
raw total energy	-7.673	eV/atom
raw formation energy	-0.89	eV per atom
magnetic moment	0.000	μB per cell

Cell: 7.356 3.244 7.384 Å, 90.00 110.91 90.00°
Fractional positions:
Ba 0.214 0.250 0.248
Ba 0.786 0.750 0.752
Be 0.077 0.250 0.605
Be 0.923 0.750 0.395
Nb 0.327 0.750 0.844
Nb 0.673 0.250 0.156
N 0.141 0.250 0.854
N 0.162 0.750 0.548
N 0.473 0.750 0.154
N 0.527 0.250 0.846
N 0.838 0.250 0.452
N 0.859 0.750 0.146


The following is a DFT calculation (GGA-PBE) of an optimized crystal structure of AcPrSn4.

Results
raw total energy	-4.552	eV/atom
energy of formation from the pure elements	-402	meV per atom
E above lowest polymorph	141	meV per atom
magnetic moment	0.004	μB per cell

Cell: 6.329 6.329 6.329 Å, 60.00 60.00 60.00°
Fractional positions:
Ac 0.000 0.000 0.000
Pr 0.750 0.750 0.750
Sn 0.376 0.376 0.376
Sn 0.376 0.376 0.873
Sn 0.376 0.873 0.376
Sn 0.873 0.376 0.376


The following is a DFT calculation (GGA-PBE) of an optimized crystal structure of BeSn3As.

Results
raw total energy	-3.083	eV/atom
energy of formation from the pure elements	994	meV per atom
E above lowest polymorph	645	meV per atom
magnetic moment	0.000	μB per cell

Cell: 5.430 5.430 5.430 Å, 90.00 90.00 90.00°
Fractional positions:
Be 0.000 0.000 0.000
Sn 0.000 0.500 0.500
Sn 0.500 0.000 0.500
Sn 0.500 0.500 0.000
As 0.500 0.500 0.500


The following is a DFT calculation (GGA-PBE) of an optimized crystal structure of CrPdN2.

Results
raw total energy	-6.839	eV/atom
raw formation energy	1.03	eV per atom
E above lowest polymorph	1016	meV per atom
magnetic moment	1.766	μB per cell

Cell: 3.792 3.792 3.792 Å, 60.00 60.00 60.00°
Fractional positions:
Cr 0.000 0.000 0.000
Pd 0.500 0.500 0.500
N 0.250 0.250 0.250
N 0.750 0.750 0.750


The following is a DFT calculation (GGA-PBE) of an optimized crystal structure of Ac6TlCo2I3.

Results
raw total energy	-4.451	eV/atom
raw formation energy	-0.63	eV per atom
magnetic moment	0.000	μB per cell

Cell: 10.920 10.920 10.280 Å, 109.87 109.87 22.85°
Fractional positions:
Ac 0.032 0.032 0.261
Ac 0.315 0.315 0.449
Ac 0.332 0.332 0.852
Ac 0.668 0.668 0.148
Ac 0.685 0.685 0.551
Ac 0.968 0.968 0.739
Tl 0.500 0.500 0.000
Co 0.172 0.172 0.346
Co 0.828 0.828 0.654
I 0.161 0.161 0.839
I 0.500 0.500 0.500
I 0.839 0.839 0.161


The following is a DFT calculation (GGA-PBE) of an optimized crystal structure of SrSc2Ag.

Results
raw total energy	-4.040	eV/atom
energy of formation from the pure elements	259	meV per atom
E above lowest polymorph	263	meV per atom
magnetic moment	0.904	μB per cell

Cell: 5.858 5.858 5.858 Å, 132.69 132.69 69.15°
Fractional positions:
Sr 0.000 0.000 0.000
Sc 0.500 0.500 0.000
Sc 0.750 0.250 0.500
Ag 0.250 0.750 0.500


The following is a DFT calculation (GGA-PBE) of an optimized crystal structure of MgScTc2.

Results
raw total energy	-7.047	eV/atom
energy of formation from the pure elements	117	meV per atom
magnetic moment	0.000	μB per cell

Cell: 5.290 5.290 2.777 Å, 99.87 99.87 116.24°
Fractional positions:
Mg 0.000 0.000 0.000
Sc 0.500 0.500 0.000
Tc 0.000 0.500 0.500
Tc 0.500 0.000 0.500


The following is a DFT calculation (GGA-PBE) of an optimized crystal structure of TaCdTc2.

Results
raw total energy	-8.107	eV/atom
energy of formation from the pure elements	268	meV per atom
magnetic moment	0.000	μB per cell

Cell: 5.314 5.314 5.314 Å, 144.98 127.59 64.60°
Fractional positions:
Ta 0.000 0.000 0.000
Cd 0.500 0.500 0.000
Tc 0.233 0.733 0.500
Tc 0.767 0.267 0.500


The following is a DFT calculation (GGA-PBE) of an optimized crystal structure of NbZnSeBr2.

Results
raw total energy	-3.837	eV/atom
raw formation energy	-0.20	eV per atom
E above lowest polymorph	0	meV per atom
magnetic moment	0.000	μB per cell

Cell: 5.270 5.270 5.016 Å, 90.00 90.00 90.00°
Fractional positions:
Nb 0.000 0.000 0.000
Zn 0.500 0.500 0.500
Se 0.000 0.000 0.500
Br 0.000 0.500 0.000
Br 0.500 0.000 0.000


The following is a DFT calculation (GGA-PBE) of an optimized crystal structure of Nd3Gd.

Results
raw total energy	-6.981	eV/atom
energy of formation from the pure elements	115	meV per atom
E above lowest polymorph	106	meV per atom
magnetic moment	8.899	μB per cell

Cell: 5.818 5.818 5.818 Å, 60.00 60.00 60.00°
Fractional positions:
Nd 0.000 0.000 0.000
Nd 0.250 0.250 0.250
Nd 0.750 0.750 0.750
Gd 0.500 0.500 0.500


The following is a DFT calculation (GGA-PBE) of an optimized crystal structure of Y4Mg2Tl.

Results
raw total energy	-4.474	eV/atom
energy of formation from the pure elements	13	meV per atom
magnetic moment	0.006	μB per cell

Cell: 9.061 9.061 9.061 Å, 33.99 33.99 33.99°
Fractional positions:
Y 0.116 0.116 0.116
Y 0.370 0.370 0.370
Y 0.630 0.630 0.630
Y 0.884 0.884 0.884
Mg 0.246 0.246 0.246
Mg 0.754 0.754 0.754
Tl 0.500 0.500 0.500


The following is a DFT calculation (GGA-PBE) of an optimized crystal structure of CsHg3Pd.

Results
raw total energy	-1.538	eV/atom
energy of formation from the pure elements	-148	meV per atom
E above lowest polymorph	128	meV per atom
magnetic moment	0.000	μB per cell

Cell: 9.067 9.067 7.938 Å, 105.64 105.64 32.05°
Fractional positions:
Cs 0.109 0.109 0.156
Cs 0.891 0.891 0.844
Hg 0.203 0.203 0.746
Hg 0.316 0.316 0.481
Hg 0.456 0.456 0.286
Hg 0.544 0.544 0.714
Hg 0.684 0.684 0.519
Hg 0.797 0.797 0.254
Pd 0.293 0.293 0.095
Pd 0.707 0.707 0.905


The following is a DFT calculation (GGA-PBE) of an optimized crystal structure of TmRe2.

Results
raw total energy	-10.083	eV/atom
energy of formation from the pure elements	-293	meV per atom
magnetic moment	0.000	μB per cell

Cell: 5.382 5.382 8.782 Å, 90.00 90.00 120.00°
Fractional positions:
Tm 0.333 0.667 0.062
Tm 0.333 0.667 0.438
Tm 0.667 0.333 0.562
Tm 0.667 0.333 0.938
Re 0.000 0.000 0.000
Re 0.000 0.000 0.500
Re 0.171 0.343 0.750
Re 0.171 0.829 0.750
Re 0.343 0.171 0.250
Re 0.657 0.829 0.750
Re 0.829 0.171 0.250
Re 0.829 0.657 0.250


The following is a DFT calculation (GGA-PBE) of an optimized crystal structure of K2ZrIr.

Results
raw total energy	-3.931	eV/atom
energy of formation from the pure elements	970	meV per atom
E above lowest polymorph	866	meV per atom
magnetic moment	0.000	μB per cell

Cell: 2.917 2.917 12.262 Å, 90.00 90.00 90.00°
Fractional positions:
K 0.000 0.000 0.206
K 0.000 0.000 0.794
Zr 0.500 0.500 0.500
Ir 0.500 0.500 0.000